Ce2CoRu3 after structural relaxation, computed with PBE.

Results
The value obtained for the density of states at the Fermi level is 8.7 states/eV per cell. The calculated volume comes out at 104 Å³/cell. The space group is R-3m (166). For the spin magnetization, the calculation gives 1.07 μB/f.u. The value obtained for the uncorrected energy is -8.079 eV per atom.

Cell: 5.159 5.159 5.159 Å, 63.17 63.17 63.17°
Sites, in units of the cell vectors:
Ce  0.126  0.126  0.126
Ce  0.874  0.874  0.874
Co  0.500  0.500  0.500
Ru  0.000  0.500  0.500
Ru  0.500  0.000  0.500
Ru  0.500  0.500  0.000